This record from Alexandria describes a relaxed PmDy2Tm3Bi6 crystal. The functional is GGA-PBE.

Lattice parameters (Å, degrees): 9.996 9.996 8.944 102.84 102.84 25.85
Sites, in units of the cell vectors:
Pm 0.000 0.000 0.000
Dy 0.333 0.333 0.667
Dy 0.667 0.667 0.333
Tm 0.000 0.000 0.500
Tm 0.334 0.334 0.168
Tm 0.666 0.666 0.832
Bi 0.166 0.166 0.585
Bi 0.169 0.169 0.082
Bi 0.500 0.500 0.257
Bi 0.500 0.500 0.743
Bi 0.831 0.831 0.918
Bi 0.834 0.834 0.415

## Properties
V: 379.4 Å³ per cell
Crystal system: monoclinic
Calculated total energy: -5.05 eV per atom
Total moment: 0.0 μB per cell
Formation energy: -832 meV per atom
Density of states at the Fermi level: 2.0 states/eV per cell